--- A ---
Material: Ir2Os2O5
Method: DFT, GGA-PBE
State: relaxed

Summary:
Density in g/cm³: 15.0
Volume in Å³/atom: 10.4

Lattice parameters (Å, degrees): 3.4103 3.4103 8.0383 90.00 90.00 90.00
Last column: nearest neighbours and their distance in Å.
Space group P4/mmm (No. 123)
Symmetry-distinct sites (fractional):
1 Ir 0.0000 0.0000 0.0000 x1  8 Os 2.73, 8 O 2.94
2 Ir 0.0000 0.0000 0.5000 x1  12 O 2.36-2.41
3 Os 0.5000 0.5000 0.1583 x2  4 O 2.04
4 O 0.0000 0.5000 0.2977 x4  2 Os 2.04
5 O 0.5000 0.5000 0.5000 x1  8 O 2.36, 4 Ir 2.41

--- B ---
Material: Ir2Os2O5
Method: DFT, GGA-PBE
State: relaxed

Summary:
Density in g/cm³: 15.2
Volume in Å³/atom: 10.2

Lattice parameters (Å, degrees): 3.3819 3.3819 8.0640 90.00 90.00 90.00
Last column: nearest neighbours and their distance in Å.
Space group P4/mmm (No. 123)
Symmetry-distinct sites (fractional):
1 Ir 0.0000 0.0000 0.1572 x2  4 O 2.14
2 Os 0.5000 0.5000 0.0000 x1  8 Ir 2.71
3 Os 0.5000 0.5000 0.5000 x1  12 O 2.23-2.39
4 O 0.0000 0.0000 0.5000 x1  8 O 2.23, 4 Os 2.39
5 O 0.0000 0.5000 0.3200 x4  2 Ir 2.14, 6 O 2.23-2.39, 2 Os 2.23

Taking the most stable structure as the zero point, the relative energies in eV/atom are A 0.000; B 0.132.